VASP calculation (PBE-GGA) on Tl2Ge2Au after structural relaxation.

Summary:
Final energy ... -3.394 eV/atom
Energy above the most stable polymorph in this dataset ... 0.00 eV per formula unit
ΔH_f (0 K) ... 0.0550 eV/atom

Cell: 6.665 6.665 5.499 Å, 90.00 90.00 90.00°
Fractional coordinates of all 10 atoms:
Tl  0.179  0.321  0.000
Tl  0.321  0.821  0.000
Tl  0.679  0.179  0.000
Tl  0.821  0.679  0.000
Ge  0.134  0.634  0.500
Ge  0.366  0.134  0.500
Ge  0.634  0.866  0.500
Ge  0.866  0.366  0.500
Au  0.000  0.000  0.500
Au  0.500  0.500  0.500

VASP calculation (PBE-GGA) on Tl3GeAu after structural relaxation.

Summary:
Final energy ... -2.587 eV/atom
Energy above the most stable polymorph in this dataset ... 0.00 eV per formula unit
ΔH_f (0 K) ... 0.4119 eV/atom

Cell: 5.560 5.560 5.560 Å, 90.00 90.00 90.00°
Fractional coordinates of all 5 atoms:
Tl  0.000  0.000  0.500
Tl  0.000  0.500  0.000
Tl  0.500  0.000  0.000
Ge  0.000  0.000  0.000
Au  0.500  0.500  0.500

VASP calculation (PBE-GGA) on Tl3Ge2Au9 after structural relaxation.

Summary:
Final energy ... -3.228 eV/atom
ΔH_f (0 K) ... 0.0457 eV/atom

Cell: 8.891 8.891 8.891 Å, 153.85 102.40 83.54°
Fractional coordinates of all 14 atoms:
Tl  0.000  0.000  0.000
Tl  0.280  0.280  0.000
Tl  0.720  0.720  0.000
Ge  0.322  0.500  0.822
Ge  0.678  0.500  0.178
Au  0.000  0.369  0.630
Au  0.000  0.631  0.370
Au  0.154  0.844  0.310
Au  0.261  0.631  0.630
Au  0.465  0.156  0.310
Au  0.500  0.000  0.500
Au  0.535  0.844  0.690
Au  0.739  0.369  0.370
Au  0.846  0.156  0.690

VASP calculation (PBE-GGA) on Tl3Ge2Au2 after structural relaxation.

Summary:
Final energy ... -3.208 eV/atom
ΔH_f (0 K) ... 0.0613 eV/atom

Cell: 6.601 6.601 8.562 Å, 122.63 122.63 36.30°
Fractional coordinates of all 7 atoms:
Tl  0.000  0.000  0.000
Tl  0.207  0.207  0.622
Tl  0.793  0.793  0.378
Ge  0.318  0.318  0.030
Ge  0.682  0.682  0.970
Au  0.472  0.472  0.643
Au  0.528  0.528  0.357

VASP calculation (PBE-GGA) on Tl4Ge2Au3 after structural relaxation.

Summary:
Final energy ... -3.147 eV/atom
ΔH_f (0 K) ... 0.0231 eV/atom

Cell: 8.824 8.824 7.893 Å, 107.75 107.75 23.20°
Fractional coordinates of all 9 atoms:
Tl  0.103  0.103  0.394
Tl  0.255  0.255  0.790
Tl  0.745  0.745  0.210
Tl  0.897  0.897  0.606
Ge  0.105  0.105  0.939
Ge  0.895  0.895  0.061
Au  0.444  0.444  0.323
Au  0.500  0.500  0.000
Au  0.556  0.556  0.677

VASP calculation (PBE-GGA) on Tl5GeAu4 after structural relaxation.

Summary:
Final energy ... -2.956 eV/atom
ΔH_f (0 K) ... -0.0003 eV/atom

Cell: 9.531 9.531 8.231 Å, 113.65 113.65 23.06°
Fractional coordinates of all 10 atoms:
Tl  0.000  0.000  0.000
Tl  0.320  0.320  0.724
Tl  0.337  0.337  0.166
Tl  0.663  0.663  0.834
Tl  0.680  0.680  0.276
Ge  0.000  0.000  0.500
Au  0.148  0.148  0.530
Au  0.487  0.487  0.713
Au  0.513  0.513  0.287
Au  0.852  0.852  0.470

VASP calculation (PBE-GGA) on Tl2GeAu after structural relaxation.

Summary:
Final energy ... -3.156 eV/atom
Energy above the most stable polymorph in this dataset ... 0.00 eV per formula unit
ΔH_f (0 K) ... 0.0007 eV/atom

Cell: 4.381 4.381 7.220 Å, 107.81 107.81 59.99°
Fractional coordinates of all 4 atoms:
Tl  0.000  0.000  0.000
Tl  0.209  0.209  0.626
Ge  0.448  0.448  0.344
Au  0.758  0.758  0.274

VASP calculation (PBE-GGA) on Tl5Ge2Au4 after structural relaxation.

Summary:
Final energy ... -3.065 eV/atom
ΔH_f (0 K) ... 0.0420 eV/atom

Cell: 10.300 10.300 8.412 Å, 113.40 113.40 19.84°
Fractional coordinates of all 11 atoms:
Tl  0.000  0.000  0.000
Tl  0.339  0.339  0.624
Tl  0.340  0.340  0.051
Tl  0.660  0.660  0.949
Tl  0.661  0.661  0.376
Ge  0.077  0.077  0.580
Ge  0.923  0.923  0.420
Au  0.216  0.216  0.718
Au  0.500  0.500  0.305
Au  0.500  0.500  0.695
Au  0.784  0.784  0.282

VASP calculation (PBE-GGA) on TlGe3Au3 after structural relaxation.

Summary:
Final energy ... -3.576 eV/atom
ΔH_f (0 K) ... 0.1452 eV/atom

Cell: 7.220 7.220 7.220 Å, 90.00 90.00 90.00°
Fractional coordinates of all 14 atoms:
Tl  0.000  0.000  0.000
Tl  0.500  0.500  0.500
Ge  0.000  0.250  0.500
Ge  0.000  0.750  0.500
Ge  0.250  0.500  0.000
Ge  0.500  0.000  0.250
Ge  0.500  0.000  0.750
Ge  0.750  0.500  0.000
Au  0.000  0.500  0.250
Au  0.000  0.500  0.750
Au  0.250  0.000  0.500
Au  0.500  0.250  0.000
Au  0.500  0.750  0.000
Au  0.750  0.000  0.500

VASP calculation (PBE-GGA) on Tl5Ge2Au5 after structural relaxation.

Summary:
Final energy ... -3.125 eV/atom
ΔH_f (0 K) ... -0.0038 eV/atom

Cell: 7.265 7.265 11.713 Å, 103.72 103.72 30.83°
Fractional coordinates of all 12 atoms:
Tl  0.000  0.000  0.000
Tl  0.168  0.168  0.574
Tl  0.270  0.270  0.881
Tl  0.730  0.730  0.119
Tl  0.832  0.832  0.426
Ge  0.455  0.455  0.698
Ge  0.545  0.545  0.302
Au  0.162  0.162  0.287
Au  0.395  0.395  0.131
Au  0.500  0.500  0.500
Au  0.605  0.605  0.869
Au  0.838  0.838  0.713

VASP calculation (PBE-GGA) on TlGeAu6 after structural relaxation.

Summary:
Final energy ... -3.277 eV/atom
ΔH_f (0 K) ... 0.0544 eV/atom

Cell: 4.042 4.042 10.451 Å, 90.00 90.00 90.00°
Fractional coordinates of all 8 atoms:
Tl  0.000  0.000  0.000
Ge  0.000  0.000  0.500
Au  0.000  0.500  0.329
Au  0.000  0.500  0.671
Au  0.500  0.000  0.329
Au  0.500  0.000  0.671
Au  0.500  0.500  0.131
Au  0.500  0.500  0.869

VASP calculation (PBE-GGA) on Tl2Ge2Au after structural relaxation.

Summary:
Final energy ... -3.270 eV/atom
Energy above the most stable polymorph in this dataset ... 0.62 eV per formula unit
ΔH_f (0 K) ... 0.1786 eV/atom

Cell: 9.560 9.560 9.560 Å, 157.70 157.70 31.74°
Fractional coordinates of all 5 atoms:
Tl  0.096  0.096  0.000
Tl  0.904  0.904  0.000
Ge  0.250  0.750  0.500
Ge  0.750  0.250  0.500
Au  0.500  0.500  0.000

What did the second record say?
VASP calculation (PBE-GGA) on Tl3GeAu after structural relaxation.

Summary:
Final energy ... -2.587 eV/atom
Energy above the most stable polymorph in this dataset ... 0.00 eV per formula unit
ΔH_f (0 K) ... 0.4119 eV/atom

Cell: 5.560 5.560 5.560 Å, 90.00 90.00 90.00°
Fractional coordinates of all 5 atoms:
Tl  0.000  0.000  0.500
Tl  0.000  0.500  0.000
Tl  0.500  0.000  0.000
Ge  0.000  0.000  0.000
Au  0.500  0.500  0.500